1.
Density functional theory data (GGA+U) for Na5Fe2P2C2O14 after structural relaxation.

a b c (Å): 5.228 6.533 17.885
angles (deg): 90.01 91.01 90.02
Space group P1 (No. 1)
Asymmetric unit:
Na  0.000  0.000  0.000 (multiplicity 1)
Na  0.000  0.034  0.500 (multiplicity 1)
Na  0.480  0.294  0.405 (multiplicity 1)
Na  0.480  0.541  0.074 (multiplicity 1)
Na  0.480  0.739  0.905 (multiplicity 1)
Na  0.481  0.492  0.574 (multiplicity 1)
Na  0.979  0.725  0.671 (multiplicity 1)
Na  0.980  0.307  0.171 (multiplicity 1)
Na  0.987  0.808  0.171 (multiplicity 1)
Na  0.988  0.224  0.671 (multiplicity 1)
Fe  0.021  0.574  0.371 (multiplicity 1)
Fe  0.022  0.460  0.871 (multiplicity 1)
Fe  0.461  0.073  0.217 (multiplicity 1)
Fe  0.461  0.960  0.717 (multiplicity 1)
P  0.526  0.463  0.752 (multiplicity 1)
P  0.526  0.570  0.252 (multiplicity 1)
P  0.944  0.065  0.333 (multiplicity 1)
P  0.944  0.968  0.833 (multiplicity 1)
C  0.510  0.006  0.074 (multiplicity 1)
C  0.510  0.027  0.574 (multiplicity 1)
C  0.970  0.503  0.003 (multiplicity 1)
C  0.971  0.530  0.503 (multiplicity 1)
O  0.012  0.874  0.382 (multiplicity 1)
O  0.015  0.159  0.882 (multiplicity 1)
O  0.031  0.778  0.882 (multiplicity 1)
O  0.033  0.254  0.381 (multiplicity 1)
O  0.082  0.060  0.257 (multiplicity 1)
O  0.082  0.971  0.757 (multiplicity 1)
O  0.191  0.476  0.971 (multiplicity 1)
O  0.191  0.558  0.471 (multiplicity 1)
O  0.289  0.060  0.101 (multiplicity 1)
O  0.290  0.972  0.601 (multiplicity 1)
O  0.360  0.473  0.822 (multiplicity 1)
O  0.361  0.563  0.322 (multiplicity 1)
O  0.471  0.275  0.702 (multiplicity 1)
O  0.472  0.758  0.202 (multiplicity 1)
O  0.474  0.385  0.199 (multiplicity 1)
O  0.477  0.648  0.699 (multiplicity 1)
O  0.521  0.138  0.515 (multiplicity 1)
O  0.522  0.895  0.015 (multiplicity 1)
O  0.653  0.080  0.319 (multiplicity 1)
O  0.653  0.955  0.819 (multiplicity 1)
O  0.720  0.062  0.109 (multiplicity 1)
O  0.720  0.972  0.609 (multiplicity 1)
O  0.775  0.481  0.958 (multiplicity 1)
O  0.775  0.549  0.457 (multiplicity 1)
O  0.819  0.465  0.775 (multiplicity 1)
O  0.819  0.567  0.275 (multiplicity 1)
O  0.952  0.546  0.073 (multiplicity 1)
O  0.953  0.486  0.573 (multiplicity 1)

***

2.
Density functional theory data (GGA+U) for Na5Fe2P2C2O14 after structural relaxation.

a b c (Å): 8.484 8.501 8.990
angles (deg): 90.06 91.25 103.31
Space group P-1 (No. 2)
Asymmetric unit:
Na  0.004  0.228  0.074 (multiplicity 2)
Na  0.113  0.618  0.263 (multiplicity 2)
Na  0.358  0.882  0.735 (multiplicity 2)
Na  0.378  0.383  0.274 (multiplicity 2)
Na  0.495  0.734  0.091 (multiplicity 2)
Fe  0.227  0.983  0.356 (multiplicity 2)
Fe  0.259  0.503  0.658 (multiplicity 2)
P  0.018  0.268  0.414 (multiplicity 2)
P  0.489  0.229  0.575 (multiplicity 2)
C  0.242  0.490  0.949 (multiplicity 2)
C  0.278  0.012  0.077 (multiplicity 2)
O  0.063  0.804  0.440 (multiplicity 2)
O  0.088  0.141  0.327 (multiplicity 2)
O  0.105  0.680  0.693 (multiplicity 2)
O  0.134  0.394  0.865 (multiplicity 2)
O  0.159  0.416  0.452 (multiplicity 2)
O  0.159  0.901  0.131 (multiplicity 2)
O  0.236  0.483  0.092 (multiplicity 2)
O  0.308  0.022  0.939 (multiplicity 2)
O  0.345  0.080  0.537 (multiplicity 2)
O  0.359  0.592  0.883 (multiplicity 2)
O  0.362  0.112  0.177 (multiplicity 2)
O  0.384  0.831  0.324 (multiplicity 2)
O  0.430  0.354  0.670 (multiplicity 2)
O  0.437  0.700  0.572 (multiplicity 2)

***

3.
Density functional theory data (GGA+U) for Na5Fe2P2C2O14 after structural relaxation.

a b c (Å): 8.483 8.562 10.318
angles (deg): 107.24 108.78 103.31
Space group P-1 (No. 2)
Asymmetric unit:
Na  0.010  0.019  0.257 (multiplicity 2)
Na  0.193  0.439  0.911 (multiplicity 2)
Na  0.254  0.757  0.270 (multiplicity 2)
Na  0.312  0.027  0.075 (multiplicity 2)
Na  0.487  0.512  0.727 (multiplicity 2)
Fe  0.175  0.434  0.349 (multiplicity 2)
Fe  0.307  0.053  0.649 (multiplicity 2)
P  0.055  0.297  0.578 (multiplicity 2)
P  0.434  0.185  0.417 (multiplicity 2)
C  0.019  0.272  0.056 (multiplicity 2)
C  0.477  0.246  0.928 (multiplicity 2)
O  0.023  0.601  0.325 (multiplicity 2)
O  0.044  0.792  0.865 (multiplicity 2)
O  0.053  0.804  0.089 (multiplicity 2)
O  0.096  0.846  0.573 (multiplicity 2)
O  0.157  0.209  0.673 (multiplicity 2)
O  0.158  0.419  0.126 (multiplicity 2)
O  0.187  0.416  0.542 (multiplicity 2)
O  0.302  0.067  0.458 (multiplicity 2)
O  0.326  0.250  0.306 (multiplicity 2)
O  0.346  0.095  0.876 (multiplicity 2)
O  0.418  0.665  0.439 (multiplicity 2)
O  0.446  0.651  0.935 (multiplicity 2)
O  0.477  0.719  0.174 (multiplicity 2)
O  0.494  0.941  0.673 (multiplicity 2)

***

What did we get for energy relative to the lowest polymorph listed for this composition? Answer: 93, 0, 1 meV per atom, in the order shown.
What did we get for DFT total energy? Answer: -6.4845, -6.5778, -6.5773 eV/atom, in the order shown.